First-principles (PBE-GGA) data for a geometry-optimized Ba3PuAu2S6 structure, as listed in the Alexandria database.

ΔE_f (raw) ... -13.782 eV per formula unit
Calculated total energy ... -0.3994 Ry per atom
Calculated density ... 5.38 g/cm³

a = 7.499 Å, b = 7.499 Å, c = 7.880 Å
α = 90.00°, β = 90.00°, γ = 120.00°
Last column: magnetic moment on the atom in μB.
Sites, in units of the cell vectors:
S (0.162, 0.324, 0.299)  -0.06
S (0.838, 0.676, 0.701)  -0.06
S (0.838, 0.162, 0.701)  -0.06
S (0.162, 0.838, 0.299)  -0.06
S (0.676, 0.838, 0.299)  -0.06
S (0.324, 0.162, 0.701)  -0.06
Pu (0.000, 0.000, 0.500)  4.48
Ba (0.333, 0.667, 0.613)  0.01
Ba (0.000, 0.000, 0.000)  0.00
Ba (0.667, 0.333, 0.387)  0.01
Au (0.333, 0.667, 0.174)  -0.06
Au (0.667, 0.333, 0.826)  -0.06

=====

First-principles (PBE-GGA) data for a geometry-optimized LiCa2In3 structure, as listed in the Alexandria database.

DFT formation energy ... -226 kJ/mol of formula units
Calculated total energy ... -0.2018 Ry per atom
Calculated density ... 4.53 g/cm³

a = 6.191 Å, b = 6.191 Å, c = 9.421 Å
α = 103.00°, β = 103.00°, γ = 108.38°
Sites, in units of the cell vectors:
Li (0.666, 0.666, 0.333)
Li (0.334, 0.334, 0.667)
In (0.169, 0.659, 0.828)
In (0.831, 0.341, 0.172)
In (0.341, 0.831, 0.172)
In (0.173, 0.173, 0.346)
In (0.659, 0.169, 0.828)
In (0.827, 0.827, 0.654)
Ca (0.250, 0.750, 0.500)
Ca (0.248, 0.248, 0.000)
Ca (0.752, 0.752, 0.000)
Ca (0.750, 0.250, 0.500)

=====

First-principles (PBE-GGA) data for a geometry-optimized Y2SeSBr structure, as listed in the Alexandria database.

ΔE_f (raw) ... -3.520 eV per formula unit
Calculated total energy ... -0.3783 Ry per atom
Calculated density ... 4.32 g/cm³

a = 5.236 Å, b = 5.165 Å, c = 5.236 Å
α = 90.00°, β = 90.00°, γ = 90.00°
Sites, in units of the cell vectors:
Se (0.500, 0.500, 0.500)
S (0.000, 0.000, 0.000)
Br (0.000, 0.500, 0.000)
Y (0.000, 0.000, 0.500)
Y (0.500, 0.000, 0.000)